A relaxed Zr3AlB crystal. Source: Alexandria via LeMat-Bulk, functional GGA-PBEsol.

abc: 4.854 4.854 4.854
angles: 90.00 90.00 90.00
Atoms (fractional coordinates):
B: 0.500 0.500 0.500
Zr: 0.000 0.500 0.000
Al: 0.000 0.000 0.000
Zr: 0.000 0.000 0.500
Zr: 0.500 0.000 0.000

Summary:
The value obtained for the energy of formation is 1393 meV/atom. As for the space-group type: Pm-3m (221). Its volume is 22.9 Å³ per atom. The calculation puts the electronic total energy at -6.2819 eV/atom. Its total magnetization is 0.0 μB/cell.